No. 1
This record from Alexandria describes crystalline Pm2DyIr2 at its relaxed geometry. The functional is PBE-GGA.

Structure (POSCAR):
```
Pm2DyIr2
1.0
6.257 0.000 0.000
0.000 7.853 0.000
-3.128 -3.927 5.354
Pm Ir Dy
4 4 2
direct
0.340 0.974 0.681 Pm
0.660 0.026 0.319 Pm
0.840 0.706 0.681 Pm
0.160 0.294 0.319 Pm
0.596 0.330 0.192 Ir
0.096 0.862 0.192 Ir
0.904 0.138 0.808 Ir
0.404 0.670 0.808 Ir
0.750 0.500 0.000 Dy
0.250 0.500 0.000 Dy
```

Values from the calculation:
Energy above the lowest structure with this stoichiometry (meV/atom): 87
Formation energy from the elements (eV/atom): -0.572
Space-group type: Ibam
Final energy (eV per atom): -6.94

No. 2
This record from Alexandria describes crystalline PmDyIr at its relaxed geometry. The functional is PBE-GGA.

Structure (POSCAR):
```
PmDyIr
1.0
-2.690 1.328 1.831
-0.203 -2.975 1.859
5.609 3.258 2.505
Ir Pm Dy
1 1 1
direct
0.663 0.663 0.326 Ir
0.295 0.295 0.590 Pm
0.042 0.042 0.085 Dy
```

Values from the calculation:
Energy above the lowest structure with this stoichiometry (meV/atom): 116
Formation energy from the elements (eV/atom): -0.503
Space-group type: I4mm
Final energy (eV per atom): -6.57

No. 3
This record from Alexandria describes crystalline PmDy3Ir at its relaxed geometry. The functional is PBE-GGA.

Structure (POSCAR):
```
PmDy3Ir
1.0
-4.536 2.901 -3.128
2.266 -2.518 -5.621
-4.524 -6.096 0.908
Dy Pm Ir
6 2 2
direct
0.926 0.494 0.950 Dy
0.421 0.330 0.201 Dy
0.426 0.859 0.952 Dy
0.926 0.494 0.452 Dy
0.426 0.859 0.450 Dy
0.921 0.023 0.701 Dy
0.930 0.029 0.201 Pm
0.430 0.324 0.701 Pm
0.675 0.671 0.201 Ir
0.175 0.681 0.701 Ir
```

Values from the calculation:
Energy above the lowest structure with this stoichiometry (meV/atom): 0
Formation energy from the elements (eV/atom): -0.332
Space-group type: Pmn2_1
Final energy (eV per atom): -5.82

No. 4
This record from Alexandria describes crystalline Pm3DyIr2 at its relaxed geometry. The functional is PBE-GGA.

Structure (POSCAR):
```
Pm3DyIr2
1.0
6.899 0.000 0.000
0.000 7.216 0.000
-3.450 -3.608 6.902
Ir Pm Dy
4 6 2
direct
0.580 0.363 0.727 Ir
0.420 0.637 0.273 Ir
0.147 0.863 0.727 Ir
0.853 0.137 0.273 Ir
0.765 0.515 0.531 Pm
0.235 0.985 0.469 Pm
0.500 0.750 0.000 Pm
0.765 0.015 0.531 Pm
0.235 0.485 0.469 Pm
0.500 0.250 0.000 Pm
0.000 0.500 0.000 Dy
0.000 0.000 0.000 Dy
```

Values from the calculation:
Formation energy from the elements (eV/atom): -0.553
Space-group type: Ibam
Final energy (eV per atom): -6.65

No. 5
This record from Alexandria describes crystalline Pm3Dy4Ir4 at its relaxed geometry. The functional is PBE-GGA.

Structure (POSCAR):
```
Pm3Dy4Ir4
1.0
3.942 0.000 0.000
0.000 8.673 0.000
-1.971 -4.337 7.994
Ir Pm Dy
4 3 4
direct
0.500 0.217 0.000 Ir
0.500 0.783 0.000 Ir
0.755 0.255 0.511 Ir
0.245 0.745 0.489 Ir
0.000 0.500 0.000 Pm
0.101 0.101 0.202 Pm
0.899 0.899 0.798 Pm
0.332 0.141 0.664 Dy
0.332 0.523 0.664 Dy
0.668 0.859 0.336 Dy
0.668 0.477 0.336 Dy
```

Values from the calculation:
Formation energy from the elements (eV/atom): -0.630
Space-group type: Immm
Final energy (eV per atom): -6.82

No. 6
This record from Alexandria describes crystalline Pm12DyIr7 at its relaxed geometry. The functional is PBE-GGA.

Structure (POSCAR):
```
Pm12DyIr7
1.0
8.555 0.000 2.476
-4.075 7.622 3.402
0.405 0.000 9.280
Pm Ir Dy
12 7 1
direct
0.414 0.078 0.716 Pm
0.898 0.143 0.438 Pm
0.586 0.922 0.284 Pm
0.102 0.857 0.562 Pm
0.245 0.582 0.857 Pm
0.664 0.562 0.582 Pm
0.130 0.716 0.206 Pm
0.755 0.418 0.143 Pm
0.336 0.206 0.078 Pm
0.664 0.794 0.922 Pm
0.870 0.284 0.794 Pm
0.336 0.438 0.418 Pm
0.962 0.907 0.330 Ir
0.945 0.237 0.093 Ir
0.291 0.330 0.763 Ir
0.055 0.763 0.907 Ir
0.500 0.000 0.000 Ir
0.709 0.670 0.237 Ir
0.038 0.093 0.670 Ir
0.000 0.000 0.000 Dy
```

Values from the calculation:
Formation energy from the elements (eV/atom): -0.494
Space-group type: R-3
Final energy (eV per atom): -6.68

Q: formation energy from the elements of number 1 (Pm2DyIr2)?
A: -0.572 eV/atom

Q: Which formula does entry 2 have?
A: PmDyIr

Q: What is the formula in the sixth record?
A: Pm12DyIr7

Q: formation energy from the elements of number 5 (Pm3Dy4Ir4)?
A: -0.630 eV/atom